Cr3Cl after structural relaxation, computed with PBE-GGA.

Uncorrected energy in eV/atom: -7.033
Raw formation energy in eV/atom: 0.646
ΔE to the lowest computed polymorph in meV/atom: 494
Volume in Å³ per atom: 15.33

a = 7.0382 Å, b = 12.0269 Å, c = 2.8967 Å
α = 90.00°, β = 90.00°, γ = 90.00°
Space group Cmcm (No. 63)
Asymmetric unit:
Cr (0.0000, 0.0827, 0.2500)
Cr (0.2210, 0.1788, 0.7500)
Cl (0.0000, 0.3981, 0.2500)

***

Cr2Cl after structural relaxation, computed with PBE-GGA.

Uncorrected energy in eV/atom: -6.537
Raw formation energy in eV/atom: 0.494
ΔE to the lowest computed polymorph in meV/atom: 602
Volume in Å³ per atom: 15.19

a = 7.2033 Å, b = 7.2033 Å, c = 3.0431 Å
α = 90.00°, β = 90.00°, γ = 120.00°
Space group P-62m (No. 189)
Asymmetric unit:
Cr (0.0000, 0.3452, 0.0000)
Cr (0.0000, 0.6652, 0.5000)
Cl (0.0000, 0.0000, 0.5000)
Cl (0.3333, 0.6667, 0.0000)

***

CrCl after structural relaxation, computed with PBE-GGA.

Uncorrected energy in eV/atom: -5.998
Raw formation energy in eV/atom: -0.263
Volume in Å³ per atom: 21.08

a = 6.3229 Å, b = 6.5963 Å, c = 8.0879 Å
α = 90.00°, β = 90.00°, γ = 90.00°
Space group P2_12_12_1 (No. 19)
Asymmetric unit:
Cr (0.0317, 0.0564, 0.0927)
Cr (0.0767, 0.8754, 0.5518)
Cl (0.0408, 0.1600, 0.3722)
Cl (0.0529, 0.5600, 0.6911)